Entry from Alexandria via LeMat-Bulk: Fe3F after structural relaxation (GGA+U).

Results
For the density, the calculation gives 5.4 g cm⁻³. The calculation puts the total magnetization at 10.08 Bohr magnetons per cell. The value obtained for the final energy is -4.268 eV per atom.

Cell lengths 3.867, 3.867, 3.867 Å; angles 90.00, 90.00, 90.00 degrees
Site moments in Bohr magnetons follow the coordinates.
Sites, in units of the cell vectors:
Fe  0.500  0.000  0.500  3.28
Fe  0.500  0.500  0.000  3.28
F  0.000  0.000  0.000  0.09
Fe  0.000  0.500  0.500  3.28

---

Entry from Alexandria via LeMat-Bulk: FeF3 after structural relaxation (GGA+U).

Results
For the density, the calculation gives 3.1 g cm⁻³. The calculation puts the total magnetization at 5.00 Bohr magnetons per cell. The value obtained for the final energy is -5.266 eV per atom.

Cell lengths 3.905, 3.905, 3.905 Å; angles 90.00, 90.00, 90.00 degrees
Site moments in Bohr magnetons follow the coordinates.
Sites, in units of the cell vectors:
F  0.500  0.000  0.000  0.20
F  0.000  0.500  0.000  0.14
F  0.000  0.000  0.500  0.07
Fe  0.000  0.000  0.000  4.53

---

Per-record DOS(E_F), states/eV/atom: 0.6850; 0.0000